[1]
Be2CuMo PBE-GGA optimized geometry; calculated formation energy = -0.06 eV/atom; E above lowest polymorph = 0 meV/atom; space-group type = Pmmm, No. 47
1.0
2.665 0.000 0.000
0.000 2.652 -0.002
0.000 2.649 6.202
Be Mo Cu
2 1 1
Direct
0.000 0.537 0.463 Be
0.000 0.963 0.037 Be
0.500 0.750 0.750 Mo
0.500 0.250 0.250 Cu

=====

[2]
Be2AgH6 PBE-GGA optimized geometry; space-group type = Fm-3m, No. 225; DFT total energy = -2.550 eV/atom
1.0
3.725 0.000 2.150
1.242 3.512 2.150
0.000 0.000 4.301
H Be Ag
6 2 1
Direct
0.307 0.693 0.307 H
0.307 0.307 0.693 H
0.693 0.693 0.307 H
0.307 0.693 0.693 H
0.693 0.307 0.693 H
0.693 0.307 0.307 H
0.250 0.250 0.250 Be
0.750 0.750 0.750 Be
0.000 0.000 0.000 Ag

=====

[3]
LaIn2Ru2 PBE-GGA optimized geometry; calculated formation energy = -0.15 eV/atom; E above lowest polymorph = 12 meV/atom; space-group type = P4/mbm, No. 127
1.0
-5.988 -2.197 -4.460
-2.282 -4.989 5.521
-1.890 2.377 1.367
Ru In La
4 4 2
Direct
0.845 0.655 0.000 Ru
0.155 0.345 0.000 Ru
0.345 0.845 0.000 Ru
0.655 0.155 0.000 Ru
0.640 0.860 0.500 In
0.860 0.360 0.500 In
0.140 0.640 0.500 In
0.360 0.140 0.500 In
0.000 0.000 0.000 La
0.500 0.500 0.000 La

=====

[4]
La3PuC PBE-GGA optimized geometry; calculated formation energy = 0.21 eV/atom; space-group type = Pm-3m, No. 221
1.0
5.297 0.000 0.000
0.000 5.297 0.000
0.000 0.000 5.297
C La Pu
1 3 1
Direct
0.000 0.000 0.000 C
0.500 0.000 0.000 La
0.000 0.500 0.000 La
0.000 0.000 0.500 La
0.500 0.500 0.500 Pu

=====

[5]
Sm2YZn4 PBE-GGA optimized geometry; calculated formation energy = -0.16 eV/atom; space-group type = I4/mmm, No. 139
1.0
4.975 0.000 -1.586
-0.505 4.949 -1.586
-0.425 -0.471 7.262
Zn Sm Y
4 2 1
Direct
0.607 0.107 0.214 Zn
0.393 0.893 0.786 Zn
0.893 0.393 0.786 Zn
0.107 0.607 0.214 Zn
0.280 0.280 0.560 Sm
0.720 0.720 0.440 Sm
0.000 0.000 0.000 Y

=====

[6]
TaSiNi2 PBE-GGA optimized geometry; space-group type = P4/mmm, No. 123; uncorrected formation energy = -377.0 meV per atom
1.0
2.789 -0.009 0.000
0.009 2.789 0.000
0.000 0.000 6.530
Ni Ta Si
2 1 1
Direct
0.000 0.000 0.452 Ni
0.000 0.000 0.048 Ni
0.500 0.500 0.750 Ta
0.500 0.500 0.250 Si

=====

[7]
DyGaSi2Ni5 PBE-GGA optimized geometry; space-group type = P4/mmm, No. 123; uncorrected formation energy = -302.2 meV per atom
1.0
-2.523 -2.734 0.262
1.285 -1.489 -3.169
6.541 -5.531 5.252
Si Ni Dy Ga
2 5 1 1
Direct
0.500 0.500 0.718 Si
0.500 0.500 0.282 Si
0.500 0.500 0.500 Ni
0.000 0.500 0.154 Ni
0.500 0.000 0.846 Ni
0.500 0.000 0.154 Ni
0.000 0.500 0.846 Ni
0.000 0.000 0.500 Dy
0.000 0.000 0.000 Ga

=====

[8]
Al2Tc2Ni PBE-GGA optimized geometry; calculated formation energy = 0.05 eV/atom; E above lowest polymorph = 155 meV/atom; space-group type = P4/mbm, No. 127
1.0
-1.693 -6.361 -0.095
5.702 -1.561 2.897
-1.480 0.348 3.102
Al Tc Ni
4 4 2
Direct
0.330 0.170 0.500 Al
0.670 0.830 0.500 Al
0.830 0.330 0.500 Al
0.170 0.670 0.500 Al
0.132 0.368 0.000 Tc
0.868 0.632 0.000 Tc
0.632 0.132 0.000 Tc
0.368 0.868 0.000 Tc
0.000 0.000 0.000 Ni
0.500 0.500 0.000 Ni

=====

[9]
BeTc4Os2 PBE-GGA optimized geometry; calculated formation energy = 0.74 eV/atom; space-group type = I4/mmm, No. 139
1.0
4.085 0.000 0.000
0.000 4.085 0.000
2.042 2.042 6.280
Be Tc Os
1 4 2
Direct
0.000 0.000 0.000 Be
0.173 0.173 0.654 Tc
0.000 0.500 0.000 Tc
0.827 0.827 0.346 Tc
0.500 0.000 0.000 Tc
0.639 0.639 0.722 Os
0.361 0.361 0.278 Os

=====

[10]
RbBP PBE-GGA optimized geometry; calculated formation energy = 0.02 eV/atom; E above lowest polymorph = 254 meV/atom; space-group type = P-6m2, No. 187
1.0
3.375 0.000 0.000
-1.688 2.923 0.000
0.000 0.000 5.622
P Rb B
1 1 1
Direct
0.000 0.000 0.000 P
0.333 0.667 0.500 Rb
0.667 0.333 0.000 B

=====

[11]
AcZn2GaNi PBE-GGA optimized geometry; calculated formation energy = -0.37 eV/atom; space-group type = Imm2, No. 44
1.0
4.227 0.000 0.000
0.000 4.379 0.000
-2.114 -2.189 5.385
Ga Ac Zn Ni
1 1 2 1
Direct
0.200 0.700 0.400 Ga
0.439 0.439 0.879 Ac
0.054 0.054 0.107 Zn
0.699 0.199 0.398 Zn
0.820 0.820 0.641 Ni

=====

[12]
Dy2Zn7Cu PBE-GGA optimized geometry; calculated formation energy = -0.28 eV/atom; space-group type = P-4m2, No. 115
1.0
-2.222 -2.449 -2.356
3.378 -1.898 -1.213
-0.990 -7.034 8.247
Zn Dy Cu
7 2 1
Direct
0.500 0.500 0.500 Zn
0.000 0.000 0.500 Zn
0.500 0.000 0.360 Zn
0.000 0.500 0.864 Zn
0.000 0.000 0.000 Zn
0.500 0.000 0.136 Zn
0.000 0.500 0.640 Zn
0.500 0.000 0.752 Dy
0.000 0.500 0.248 Dy
0.500 0.500 0.000 Cu

=====

| no. | D(E_F) (states/eV/cell) |
| --- | --- |
| 1 | 1.37 |
| 2 | 1.10 |
| 3 | 4.05 |
| 4 | 18.08 |
| 5 | 5.29 |
| 6 | 1.83 |
| 7 | 5.88 |
| 8 | 11.38 |
| 9 | 6.05 |
| 10 | 1.08 |
| 11 | 3.71 |
| 12 | 4.93 |